This record from the Alexandria database describes a relaxed KPI2O crystal. The functional is PBE.

```
5
Lattice="5.9950 0.0000 0.0000 0.0000 5.9950 0.0000 0.0000 0.0000 3.6643" Properties=species:S:1:pos:R:3 pbc="T T T"
K 0.0000 0.0000 0.0000
P 2.9975 2.9975 1.8321
I 0.0000 2.9975 1.8321
I 2.9975 0.0000 1.8321
O 2.9975 2.9975 0.0000
```

Properties
The calculation puts the size of the total moment at 0.0 μB/f.u. The value obtained for the formation energy from raw total energies is -65 kJ/mol of atoms. As for the space group: P4/mmm, No. 123.



This record from the Alexandria database describes a relaxed KPI2O crystal. The functional is PBE.

```
5
Lattice="6.2186 0.0000 0.0000 0.0000 6.2186 0.0000 0.0000 0.0000 4.2610" Properties=species:S:1:pos:R:3 pbc="T T T"
K 0.0000 0.0000 0.0000
P 3.1093 3.1093 2.1305
I 0.0000 3.1093 0.0000
I 3.1093 0.0000 0.0000
O 0.0000 0.0000 2.1305
```

Properties
The calculation puts the size of the total moment at 0.0 μB/f.u. The value obtained for the formation energy from raw total energies is 89 kJ/mol of atoms. As for the space group: P4/mmm, No. 123.



This record from the Alexandria database describes a relaxed KPIO2 crystal. The functional is PBE.

```
5
Lattice="4.1124 0.0000 0.0000 0.0000 4.1124 0.0000 0.0000 0.0000 5.5077" Properties=species:S:1:pos:R:3 pbc="T T T"
K 0.0000 0.0000 0.0000
P 2.0562 2.0562 2.7538
I 2.0562 2.0562 0.0000
O 0.0000 2.0562 2.7538
O 2.0562 0.0000 2.7538
```

Properties
The calculation puts the size of the total moment at 0.4 μB/f.u. The value obtained for the formation energy from raw total energies is -31 kJ/mol of atoms. As for the space group: P4/mmm, No. 123.



This record from the Alexandria database describes a relaxed KP2IO8 crystal. The functional is PBE.

```
12
Lattice="4.1999 -2.6835 0.0000 4.1999 2.6835 0.0000 -0.5298 0.0000 8.3896" Properties=species:S:1:pos:R:3 pbc="T T T"
K 0.0000 0.0000 0.0000
P 2.6902 0.0000 5.9225
P 5.1799 0.0000 2.4671
I -0.2649 0.0000 4.1948
O 3.6260 1.2729 5.7473
O 1.7532 0.0000 4.6488
O 4.2441 1.2729 2.6423
O 2.0460 0.0000 7.2627
O 5.8242 0.0000 1.1269
O 3.6260 -1.2729 5.7473
O 6.1170 0.0000 3.7408
O 4.2441 -1.2729 2.6423
```

Properties
The calculation puts the size of the total moment at 0.0 μB/f.u. The value obtained for the formation energy from raw total energies is -153 kJ/mol of atoms. As for the space group: C2/m, No. 12.



This record from the Alexandria database describes a relaxed KPIO2 crystal. The functional is PBE.

```
5
Lattice="4.5550 0.0000 0.0000 0.0000 4.5550 0.0000 0.0000 0.0000 7.5154" Properties=species:S:1:pos:R:3 pbc="T T T"
K 0.0000 0.0000 0.0000
P 0.0000 0.0000 3.7577
I 2.2775 2.2775 3.7577
O 0.0000 2.2775 0.0000
O 2.2775 0.0000 0.0000
```

Properties
The calculation puts the size of the total moment at 4.2 μB/f.u. The value obtained for the formation energy from raw total energies is 92 kJ/mol of atoms. As for the space group: P4/mmm, No. 123.



This record from the Alexandria database describes a relaxed KPIO2 crystal. The functional is PBE.

```
5
Lattice="4.3020 0.0000 0.0000 0.0000 4.3020 0.0000 0.0000 0.0000 5.2650" Properties=species:S:1:pos:R:3 pbc="T T T"
K 0.0000 0.0000 0.0000
P 2.1510 2.1510 0.0000
I 2.1510 2.1510 2.6325
O 0.0000 2.1510 2.6325
O 2.1510 0.0000 2.6325
```

Properties
The calculation puts the size of the total moment at 1.0 μB/f.u. The value obtained for the formation energy from raw total energies is 9 kJ/mol of atoms. As for the space group: P4/mmm, No. 123.



This record from the Alexandria database describes a relaxed KPIO2 crystal. The functional is PBE.

```
5
Lattice="4.5991 0.0000 0.0000 0.0000 4.5991 0.0000 0.0000 0.0000 7.3579" Properties=species:S:1:pos:R:3 pbc="T T T"
K 0.0000 0.0000 0.0000
P 2.2995 2.2995 3.6790
I 0.0000 0.0000 3.6790
O 0.0000 2.2995 0.0000
O 2.2995 0.0000 0.0000
```

Properties
The calculation puts the size of the total moment at 4.6 μB/f.u. The value obtained for the formation energy from raw total energies is 91 kJ/mol of atoms. As for the space group: P4/mmm, No. 123.



This record from the Alexandria database describes a relaxed K2PaIO6 crystal. The functional is PBE.

```
10
Lattice="5.2728 -3.0511 0.0000 5.2728 3.0511 0.0000 -3.5141 0.0000 4.9794" Properties=species:S:1:pos:R:3 pbc="T T T"
K 0.0000 0.0000 0.0000
K 3.5105 0.0000 2.4912
Pa 7.0193 0.0000 1.2489
I -0.0473 0.0000 3.7536
O -1.6748 0.0000 2.5512
O -0.8359 1.4479 4.9137
O -0.8359 -1.4479 4.9137
O 5.3072 0.0000 0.0181
O 6.1754 1.4968 2.4589
O 6.1754 -1.4968 2.4589
```

Properties
The calculation puts the size of the total moment at 0.0 μB/f.u. The value obtained for the formation energy from raw total energies is -187 kJ/mol of atoms. As for the space group: Cm, No. 8.